Entry 1:
{"formula": "In2BrF", "functional": "PBE", "state": "relaxed", "lattice_angstrom": [[4.365, 0.000, 0.000], [2.183, 3.781, 0.000], [2.183, 1.260, 6.768]], "species": ["F", "In", "In", "Br"], "frac_coords": [[0.000, 0.000, 0.000], [0.270, 0.270, 0.189], [0.730, 0.730, 0.811], [0.500, 0.500, 0.500]], "e_tot_ev_per_atom": -3.332, "m_tot_mub_per_fu": 0.000, "e_above_lowest_polymorph_mev_per_atom": 61}

***

Entry 2:
{"formula": "ZnCdCo2", "functional": "PBE", "state": "relaxed", "lattice_angstrom": [[5.137, 0.029, 0.029], [2.373, 4.556, -0.029], [-3.204, -3.194, 2.433]], "species": ["Co", "Zn", "Cd", "Co"], "frac_coords": [[0.237, 0.737, 0.500], [0.481, 0.481, 0.000], [0.757, 0.257, 0.500], [0.025, 0.025, 0.000]], "e_tot_ev_per_atom": -3.883, "formation_energy_kj_per_mol_atoms": 21, "m_tot_mub_per_fu": 2.834}

***

Entry 3:
{"formula": "Y2SnAs", "functional": "PBE", "state": "relaxed", "lattice_angstrom": [[-1.629, 3.614, 1.450], [-3.261, -2.198, 1.813], [7.797, -0.025, 8.822]], "species": ["Y", "As", "As", "Sn", "Sn", "Y", "Y", "Y"], "frac_coords": [[0.250, 0.068, 0.136], [0.250, 0.189, 0.378], [0.750, 0.811, 0.622], [0.250, 0.453, 0.906], [0.750, 0.547, 0.094], [0.750, 0.689, 0.377], [0.250, 0.311, 0.623], [0.750, 0.932, 0.864]], "e_tot_ev_per_atom": -6.531, "formation_energy_kj_per_mol_atoms": -110, "m_tot_mub_per_fu": 0.000, "e_above_lowest_polymorph_mev_per_atom": 0}

***

Entry 4:
{"formula": "LaRuF2", "functional": "PBE", "state": "relaxed", "lattice_angstrom": [[2.442, 0.000, 3.970], [-1.221, 2.115, 3.970], [-1.221, -2.115, 3.970]], "species": ["F", "La", "F", "Ru"], "frac_coords": [[0.220, 0.220, 0.220], [0.000, 0.000, 0.000], [0.780, 0.780, 0.780], [0.500, 0.500, 0.500]], "e_tot_ev_per_atom": -5.957, "m_tot_mub_per_fu": 1.152, "e_above_lowest_polymorph_mev_per_atom": 140}

***

Entry 5:
{"formula": "CaLa3Sm2Se6", "functional": "PBE", "state": "relaxed", "lattice_angstrom": [[7.351, -0.004, 0.002], [-3.677, 6.365, 0.002], [-1.223, -2.117, 6.951]], "species": ["Sm", "Sm", "Se", "Se", "Se", "La", "Se", "La", "Se", "Se", "Ca", "La"], "frac_coords": [[0.333, 0.667, 0.000], [0.667, 0.333, 0.000], [0.080, 0.410, 0.239], [0.750, 0.750, 0.238], [0.590, 0.920, 0.761], [0.833, 0.167, 0.500], [0.410, 0.080, 0.239], [0.500, 0.500, 0.500], [0.920, 0.590, 0.761], [0.250, 0.250, 0.762], [0.000, 0.000, 0.000], [0.167, 0.833, 0.500]], "e_tot_ev_per_atom": -5.858, "m_tot_mub_per_fu": 0.000}

***

Entry 6:
{"formula": "Zr6As3H", "functional": "PBE", "state": "relaxed", "lattice_angstrom": [[5.972, 0.000, 0.000], [0.000, 8.257, 0.170], [0.000, -1.676, 8.087]], "species": ["Zr", "As", "Zr", "As", "As", "Zr", "Zr", "Zr", "Zr", "Zr", "Zr", "H", "As", "Zr", "H", "Zr", "As", "Zr", "As", "Zr"], "frac_coords": [[0.695, 0.904, 0.446], [0.987, 0.742, 0.937], [0.195, 0.446, 0.904], [0.987, 0.063, 0.258], [0.382, 0.397, 0.603], [0.615, 0.940, 0.060], [0.196, 0.769, 0.231], [0.689, 0.292, 0.372], [0.689, 0.628, 0.708], [0.189, 0.708, 0.628], [0.696, 0.231, 0.769], [0.551, 0.782, 0.218], [0.487, 0.937, 0.742], [0.189, 0.372, 0.292], [0.051, 0.218, 0.782], [0.115, 0.060, 0.940], [0.487, 0.258, 0.063], [0.195, 0.096, 0.554], [0.882, 0.603, 0.397], [0.695, 0.554, 0.096]], "e_tot_ev_per_atom": -7.551, "m_tot_mub_per_fu": 0.000}

***

Entry 7:
{"formula": "BeSnAs2Br", "functional": "PBE", "state": "relaxed", "lattice_angstrom": [[-2.668, -3.422, 0.949], [2.007, -0.474, 3.934], [-3.793, 3.615, 2.370]], "species": ["As", "Sn", "As", "Br", "Be"], "frac_coords": [[0.500, 0.000, 0.000], [0.500, 0.500, 0.500], [0.000, 0.500, 0.000], [0.000, 0.000, 0.500], [0.000, 0.000, 0.000]], "e_tot_ev_per_atom": -3.489, "m_tot_mub_per_fu": 0.000, "e_above_lowest_polymorph_mev_per_atom": 0}

***

Entry 8:
{"formula": "Ce2Ho12Tm5", "functional": "PBE", "state": "relaxed", "lattice_angstrom": [[9.137, 0.000, 0.000], [-4.568, 11.068, -1.837], [0.000, -5.202, 6.742]], "species": ["Ho", "Ho", "Tm", "Ho", "Ho", "Ho", "Ce", "Ho", "Tm", "Ce", "Tm", "Ho", "Ho", "Ho", "Ho", "Ho", "Tm", "Tm", "Ho"], "frac_coords": [[0.033, 0.708, 0.945], [0.561, 0.121, 0.779], [0.713, 0.425, 0.388], [0.931, 0.862, 0.733], [0.967, 0.292, 0.055], [0.176, 0.736, 0.419], [0.649, 0.000, 0.000], [0.441, 0.264, 0.581], [0.287, 0.575, 0.612], [0.351, 0.000, 0.000], [0.770, 0.540, 0.105], [0.325, 0.292, 0.055], [0.069, 0.138, 0.267], [0.559, 0.736, 0.419], [0.824, 0.264, 0.581], [0.675, 0.708, 0.945], [0.000, 0.000, 0.500], [0.230, 0.460, 0.895], [0.439, 0.879, 0.221]], "e_tot_ev_per_atom": -4.547, "formation_energy_kj_per_mol_atoms": 14, "m_tot_mub_per_fu": 0.902, "e_above_lowest_polymorph_mev_per_atom": 41}

***

Entry 9:
{"formula": "Th3TeIrRu", "functional": "PBE", "state": "relaxed", "lattice_angstrom": [[-2.893, -2.612, -1.710], [4.548, -0.392, -7.095], [2.282, -7.043, 6.896]], "species": ["Th", "Te", "Th", "Ir", "Ru", "Ru", "Ir", "Th", "Th", "Th", "Th", "Te"], "frac_coords": [[0.250, 0.517, 0.855], [0.250, 0.279, 0.275], [0.250, 0.742, 0.472], [0.750, 0.277, 0.838], [0.250, 0.098, 0.615], [0.750, 0.902, 0.385], [0.250, 0.723, 0.162], [0.250, 0.066, 0.867], [0.750, 0.934, 0.133], [0.750, 0.483, 0.145], [0.750, 0.258, 0.528], [0.750, 0.721, 0.725]], "e_tot_ev_per_atom": -8.035, "m_tot_mub_per_fu": 0.000}

***

Entry 10:
{"formula": "Zr2CdPb", "functional": "PBE", "state": "relaxed", "lattice_angstrom": [[3.477, 0.000, 0.000], [0.000, 4.250, 0.000], [0.000, 0.000, 6.439]], "species": ["Cd", "Pb", "Zr", "Zr"], "frac_coords": [[0.000, 0.000, 0.489], [0.500, 0.500, 0.752], [0.000, 0.000, 0.011], [0.500, 0.500, 0.248]], "e_tot_ev_per_atom": -5.455, "formation_energy_kj_per_mol_atoms": -2, "m_tot_mub_per_fu": 0.000}

***

Entry 11:
{"formula": "NiTePdI2", "functional": "PBE", "state": "relaxed", "lattice_angstrom": [[-3.448, -2.112, -3.442], [0.256, -4.632, 2.585], [-3.768, 1.414, 2.907]], "species": ["Pd", "I", "I", "Te", "Ni"], "frac_coords": [[0.500, 0.500, 0.500], [0.500, 0.000, 0.000], [0.000, 0.500, 0.000], [0.000, 0.000, 0.500], [0.000, 0.000, 0.000]], "e_tot_ev_per_atom": -2.899, "m_tot_mub_per_fu": 0.000, "e_above_lowest_polymorph_mev_per_atom": 0}

***

Entry 12:
{"formula": "LaCO", "functional": "PBE", "state": "relaxed", "lattice_angstrom": [[3.185, 0.000, 0.000], [-1.593, 4.098, 0.111], [0.000, -0.471, 8.220]], "species": ["C", "La", "O", "La", "O", "C"], "frac_coords": [[0.754, 0.509, 0.959], [0.131, 0.261, 0.740], [0.862, 0.725, 0.832], [0.869, 0.739, 0.260], [0.138, 0.275, 0.168], [0.246, 0.491, 0.041]], "e_tot_ev_per_atom": -7.134, "m_tot_mub_per_fu": 0.000, "e_above_lowest_polymorph_mev_per_atom": 1158}

***

Copy entry 5 word for word.
{"formula": "CaLa3Sm2Se6", "functional": "PBE", "state": "relaxed", "lattice_angstrom": [[7.351, -0.004, 0.002], [-3.677, 6.365, 0.002], [-1.223, -2.117, 6.951]], "species": ["Sm", "Sm", "Se", "Se", "Se", "La", "Se", "La", "Se", "Se", "Ca", "La"], "frac_coords": [[0.333, 0.667, 0.000], [0.667, 0.333, 0.000], [0.080, 0.410, 0.239], [0.750, 0.750, 0.238], [0.590, 0.920, 0.761], [0.833, 0.167, 0.500], [0.410, 0.080, 0.239], [0.500, 0.500, 0.500], [0.920, 0.590, 0.761], [0.250, 0.250, 0.762], [0.000, 0.000, 0.000], [0.167, 0.833, 0.500]], "e_tot_ev_per_atom": -5.858, "m_tot_mub_per_fu": 0.000}